Compound: CrSb2TeF
Source: Alexandria via LeMat-Bulk
Functional: PBE with a Hubbard U
Structure: relaxed

POSCAR file:
```
CrSb2TeF
1.0
-4.254 1.973 -0.480
-1.694 -2.835 3.363
1.321 3.788 3.859
Sb F Te Cr
2 1 1 1
Direct
0.000 0.500 0.000 Sb
0.500 0.000 0.000 Sb
0.000 0.000 0.000 F
0.000 0.000 0.500 Te
0.500 0.500 0.500 Cr
```

Properties
The calculation puts the calculated density at 5.94 g/cm3. For the energy relative to the lowest polymorph listed for this composition, the calculation gives 0 meV/atom. The crystal system is tetragonal. As for the raw total energy: -4.140 eV per atom.